A plane-wave DFT calculation with PBE was carried out for crystalline ThPb2F8 at its relaxed geometry.

For the energy above the lowest structure with this stoichiometry, the calculation gives 0 meV/atom. As for the formation energy from raw total energies: -3.179 eV per atom. For the density of states at the Fermi level, the calculation gives 0.00 states/eV/atom.

It has space group C2/m (No. 12), with a = 14.9809 Å, b = 4.1442 Å, c = 5.9443 Å, α = 90.00°, β = 110.44° and γ = 90.00°. The asymmetric unit holds Th at (0.0000, 0.0000, 0.0000), Pb at (0.1846, 0.5000, 0.6757), F at (0.0225, 0.5000, 0.8165), F at (0.0916, 0.0000, 0.3968), F at (0.1499, 0.0000, 0.9646) and F at (0.2188, 0.5000, 0.3144).

A plane-wave DFT calculation with PBE was carried out for crystalline TiPbF at its relaxed geometry.

For the energy above the lowest structure with this stoichiometry, the calculation gives 3 meV/atom. As for the formation energy from raw total energies: -1.277 eV per atom. For the density of states at the Fermi level, the calculation gives 0.67 states/eV/atom.

It has space group C2/m (No. 12), with a = 13.7289 Å, b = 3.0773 Å, c = 5.5448 Å, α = 90.00°, β = 101.62° and γ = 90.00°. The asymmetric unit holds Ti at (0.2498, 0.0000, 0.2124), Pb at (0.0598, 0.0000, 0.7925) and F at (0.1809, 0.5000, 0.3934).

A plane-wave DFT calculation with PBE was carried out for crystalline Ti2PbF11 at its relaxed geometry.

As for the formation energy from raw total energies: -2.875 eV per atom. For the density of states at the Fermi level, the calculation gives 0.35 states/eV/atom.

It has space group Ibam (No. 72), with a = 7.5237 Å, b = 9.7657 Å, c = 10.5240 Å, α = 90.00°, β = 90.00° and γ = 90.00°. The asymmetric unit holds Ti at (0.1267, 0.1805, 0.0000), Pb at (0.0000, 0.5000, 0.2500), F at (0.0000, 0.0000, 0.0000), F at (0.1121, 0.3167, 0.1335), F at (0.1218, 0.2201, 0.5000) and F at (0.2498, 0.0826, 0.1297).

A plane-wave DFT calculation with PBE was carried out for crystalline Ti3PbF at its relaxed geometry.

For the energy above the lowest structure with this stoichiometry, the calculation gives 0 meV/atom. As for the formation energy from raw total energies: -0.511 eV per atom. For the density of states at the Fermi level, the calculation gives 1.09 states/eV/atom.

It has space group Pm-3m (No. 221), with a = 4.3346 Å, b = 4.3346 Å, c = 4.3346 Å, α = 90.00°, β = 90.00° and γ = 90.00°. The asymmetric unit holds Ti at (0.0000, 0.0000, 0.5000), Pb at (0.5000, 0.5000, 0.5000) and F at (0.0000, 0.0000, 0.0000).

A plane-wave DFT calculation with PBE was carried out for crystalline TiPbF3 at its relaxed geometry.

For the energy above the lowest structure with this stoichiometry, the calculation gives 748 meV/atom. As for the formation energy from raw total energies: -1.265 eV per atom. For the density of states at the Fermi level, the calculation gives 3.02 states/eV/atom.

It has space group Pm-3m (No. 221), with a = 4.7863 Å, b = 4.7863 Å, c = 4.7863 Å, α = 90.00°, β = 90.00° and γ = 90.00°. The asymmetric unit holds Ti at (0.0000, 0.0000, 0.0000), Pb at (0.5000, 0.5000, 0.5000) and F at (0.0000, 0.5000, 0.5000).

A plane-wave DFT calculation with PBE was carried out for crystalline TiPbF at its relaxed geometry.

For the energy above the lowest structure with this stoichiometry, the calculation gives 23 meV/atom. As for the formation energy from raw total energies: -1.256 eV per atom. For the density of states at the Fermi level, the calculation gives 0.51 states/eV/atom.

It has space group P-1 (No. 2), with a = 3.1201 Å, b = 5.2606 Å, c = 7.8365 Å, α = 70.59°, β = 78.61° and γ = 89.99°. The asymmetric unit holds Ti at (0.2261, 0.2701, 0.0482), Pb at (0.4332, 0.6731, 0.6283) and F at (0.3168, 0.0451, 0.8649).

A plane-wave DFT calculation with PBE was carried out for crystalline TiPbF at its relaxed geometry.

For the energy above the lowest structure with this stoichiometry, the calculation gives 12 meV/atom. As for the formation energy from raw total energies: -1.268 eV per atom. For the density of states at the Fermi level, the calculation gives 0.66 states/eV/atom.

It has space group P1 (No. 1), with a = 3.2246 Å, b = 6.2922 Å, c = 6.8720 Å, α = 63.57°, β = 76.49° and γ = 75.26°. The asymmetric unit holds Ti at (0.0000, 0.0000, 0.0000), Ti at (0.2808, 0.2809, 0.1576), Pb at (0.3913, 0.7690, 0.4525), Pb at (0.6161, 0.1982, 0.5700), F at (0.1423, 0.6616, 0.0538) and F at (0.8453, 0.3702, 0.9393).

A plane-wave DFT calculation with PBE was carried out for crystalline TiPbF at its relaxed geometry.

For the energy above the lowest structure with this stoichiometry, the calculation gives 55 meV/atom. As for the formation energy from raw total energies: -1.224 eV per atom. For the density of states at the Fermi level, the calculation gives 0.62 states/eV/atom.

It has space group Pm (No. 6), with a = 5.4233 Å, b = 3.1329 Å, c = 7.0112 Å, α = 90.00°, β = 102.48° and γ = 90.00°. The asymmetric unit holds Ti at (0.0000, 0.0000, 0.0000), Ti at (0.4365, 0.5000, 0.0180), Pb at (0.2374, 0.0000, 0.6391), Pb at (0.6883, 0.0000, 0.3860), F at (0.1484, 0.5000, 0.1837) and F at (0.7565, 0.5000, 0.8859).

Raw total energy, respectively: -64.78, -17.30, -80.34, -31.82, -23.54, -17.24, -17.28, -17.15 eV per formula unit.